1.
A plane-wave DFT calculation with PBE was carried out for crystalline Pm2SmEr4 at its relaxed geometry.

Values from the calculation:
DFT total energy: -122.4 eV per cell
distance to the lowest polymorph of the same formula: 0 meV per atom
energy of formation: 0.27 eV per atom

a b c (Å): 13.2411 12.1974 6.6727
angles (deg): 90.00 120.20 90.00
Last column: nearest neighbours and their distance in Å.
Space group C2/c (No. 15)
Asymmetric unit:
Pm (0.0000, 0.0000, 0.0000) (multiplicity 4)  6 Er 3.19-3.52, 2 Pm 3.34
Pm (0.2500, 0.2500, 0.0000) (multiplicity 4)  8 Er 3.39-3.74
Sm (0.0000, 0.4751, 0.7500) (multiplicity 4)  6 Er 3.18-3.56, 2 Sm 3.39
Er (0.0001, 0.2609, 0.0228) (multiplicity 8)  1 Er 3.03, 1 Sm 3.18, 3 Pm 3.19-3.40
Er (0.2431, 0.1115, 0.4923) (multiplicity 8)  1 Sm 3.38, 5 Er 3.38-3.66, 4 Pm 3.52-3.74

---

2.
A plane-wave DFT calculation with PBE was carried out for crystalline PmSmEr2 at its relaxed geometry.

Values from the calculation:
DFT total energy: -72.5 eV per cell
distance to the lowest polymorph of the same formula: 99 meV per atom
energy of formation: 0.12 eV per atom

a b c (Å): 8.0497 8.0497 8.0497
angles (deg): 90.00 90.00 90.00
Last column: nearest neighbours and their distance in Å.
Space group Fm-3m (No. 225)
Asymmetric unit:
Pm (0.0000, 0.0000, 0.0000) (multiplicity 4)  8 Er 3.49
Sm (0.0000, 0.0000, 0.5000) (multiplicity 4)  8 Er 3.49
Er (0.2500, 0.2500, 0.2500) (multiplicity 8)  4 Pm 3.49, 4 Sm 3.49

---

3.
A plane-wave DFT calculation with PBE was carried out for crystalline PmSmEr5 at its relaxed geometry.

Values from the calculation:
DFT total energy: -123.6 eV per cell
distance to the lowest polymorph of the same formula: 0 meV per atom
energy of formation: 0.20 eV per atom

a b c (Å): 11.6072 6.7892 12.0759
angles (deg): 90.00 109.16 90.00
Last column: nearest neighbours and their distance in Å.
Space group C2/c (No. 15)
Asymmetric unit:
Pm (0.0000, 0.0259, 0.2500) (multiplicity 4)  3 Er 2.97-3.30
Sm (0.2500, 0.2500, 0.0000) (multiplicity 4)  4 Er 3.26-3.61
Er (0.0000, 0.4121, 0.7500) (multiplicity 4)  1 Pm 2.97, 2 Er 2.99
Er (0.0773, 0.2757, 0.4985) (multiplicity 8)  4 Er 3.28-3.56, 1 Pm 3.30
Er (0.2211, 0.3595, 0.2523) (multiplicity 8)  2 Er 2.99-3.28, 1 Sm 3.26

---

4.
A plane-wave DFT calculation with PBE was carried out for crystalline Pm8SmEr5 at its relaxed geometry.

Values from the calculation:
DFT total energy: -124.2 eV per cell
energy of formation: 0.25 eV per atom

a b c (Å): 9.6114 9.6114 10.3150
angles (deg): 90.00 90.00 90.00
Last column: nearest neighbours and their distance in Å.
Space group I-4 (No. 82)
Asymmetric unit:
Pm (0.0694, 0.1739, 0.3492) (multiplicity 8)  5 Er 3.36-3.60, 3 Pm 3.60-3.65
Pm (0.0888, 0.3229, 0.0028) (multiplicity 8)  4 Er 3.18-3.51, 1 Sm 3.22
Sm (0.0000, 0.0000, 0.0000) (multiplicity 2)  4 Pm 3.22
Er (0.0000, 0.5000, 0.2500) (multiplicity 2)  8 Pm 3.18-3.36
Er (0.1100, 0.2955, 0.6773) (multiplicity 8)  8 Pm 3.37-3.60, 2 Er 3.49

---

5.
A plane-wave DFT calculation with PBE was carried out for crystalline Pm6SmEr at its relaxed geometry.

Values from the calculation:
DFT total energy: -37.6 eV per cell
energy of formation: 0.02 eV per atom

a b c (Å): 5.1310 5.1310 10.2556
angles (deg): 90.00 90.00 90.00
Last column: nearest neighbours and their distance in Å.
Space group P4/mmm (No. 123)
Asymmetric unit:
Pm (0.0000, 0.0000, 0.0000) (multiplicity 1)  8 Pm 3.61, 4 Er 3.63
Pm (0.0000, 0.0000, 0.5000) (multiplicity 1)  4 Sm 3.63, 8 Pm 3.64
Pm (0.0000, 0.5000, 0.2480) (multiplicity 4)  2 Er 3.61, 8 Pm 3.61-3.64, 2 Sm 3.64
Sm (0.5000, 0.5000, 0.5000) (multiplicity 1)  12 Pm 3.63-3.64
Er (0.5000, 0.5000, 0.0000) (multiplicity 1)  12 Pm 3.61-3.63

---

6.
A plane-wave DFT calculation with PBE was carried out for crystalline PmSm5Er2 at its relaxed geometry.

Values from the calculation:
DFT total energy: -72.3 eV per cell
distance to the lowest polymorph of the same formula: 150 meV per atom
energy of formation: 0.17 eV per atom

a b c (Å): 5.7783 8.6154 11.4038
angles (deg): 90.02 90.03 106.21
Last column: nearest neighbours and their distance in Å.
Space group P-1 (No. 2)
Asymmetric unit:
Pm (0.0046, 0.1539, 0.2503) (multiplicity 2)  4 Er 3.46-3.76, 7 Sm 3.57-3.83
Sm (0.1604, 0.2085, 0.9235) (multiplicity 2)  2 Er 3.18-3.35, 2 Sm 3.42-3.50
Sm (0.1613, 0.2089, 0.5767) (multiplicity 2)  2 Er 3.18-3.35, 2 Sm 3.42-3.49
Sm (0.2669, 0.5840, 0.2500) (multiplicity 2)  2 Er 3.51, 1 Pm 3.59, 6 Sm 3.75-3.84
Sm (0.3054, 0.6219, 0.9226) (multiplicity 2)  5 Sm 3.42-3.83, 2 Er 3.51-3.63, 1 Pm 3.57
Sm (0.3061, 0.6222, 0.5776) (multiplicity 2)  3 Sm 3.42-3.75, 2 Er 3.52-3.63, 1 Pm 3.57
Er (0.3942, 0.9659, 0.3822) (multiplicity 2)  2 Er 2.94-3.01, 1 Sm 3.18
Er (0.3956, 0.9668, 0.1182) (multiplicity 2)  2 Er 2.94-3.01, 1 Sm 3.18

---

7.
A plane-wave DFT calculation with PBE was carried out for crystalline Pm8Sm6Er at its relaxed geometry.

Values from the calculation:
DFT total energy: -68.4 eV per cell
distance to the lowest polymorph of the same formula: 51 meV per atom
energy of formation: 0.17 eV per atom

a b c (Å): 9.4847 9.4847 6.6513
angles (deg): 90.00 90.00 120.00
Last column: nearest neighbours and their distance in Å.
Space group P-3 (No. 147)
Asymmetric unit:
Pm (0.0302, 0.7484, 0.1643) (multiplicity 6)  4 Sm 3.31-3.60, 3 Pm 3.35, 1 Er 3.38
Pm (0.3333, 0.6667, 0.1135) (multiplicity 2)  3 Pm 3.35
Sm (0.0866, 0.6539, 0.6591) (multiplicity 6)  1 Sm 3.30, 4 Pm 3.31-3.60
Er (0.0000, 0.0000, 0.5000) (multiplicity 1)  6 Pm 3.38

---

8.
A plane-wave DFT calculation with PBE was carried out for crystalline PmSm2Er3 at its relaxed geometry.

Values from the calculation:
DFT total energy: -106.3 eV per cell
distance to the lowest polymorph of the same formula: 95 meV per atom
energy of formation: 0.22 eV per atom

a b c (Å): 9.4711 13.1626 6.3714
angles (deg): 90.00 90.00 90.00
Last column: nearest neighbours and their distance in Å.
Space group Cmc2_1 (No. 36)
Asymmetric unit:
Pm (0.0000, 0.1754, 0.0000) (multiplicity 4)  6 Er 3.17-3.39
Sm (0.1824, 0.4427, 0.2272) (multiplicity 8)  4 Er 3.36-3.50, 3 Sm 3.45-3.53
Er (0.0000, 0.0822, 0.4747) (multiplicity 4)  3 Pm 3.26-3.56, 2 Sm 3.43, 2 Er 3.62
Er (0.1821, 0.3035, 0.6775) (multiplicity 8)  2 Pm 3.17-3.23, 3 Sm 3.36-3.50, 1 Er 3.45

---

9.
A plane-wave DFT calculation with PBE was carried out for crystalline Pm5SmEr8 at its relaxed geometry.

Values from the calculation:
DFT total energy: -123.3 eV per cell
energy of formation: 0.24 eV per atom

a b c (Å): 9.5589 9.5589 10.1003
angles (deg): 90.00 90.00 90.00
Last column: nearest neighbours and their distance in Å.
Space group I-4 (No. 82)
Asymmetric unit:
Pm (0.0000, 0.0000, 0.0000) (multiplicity 2)  8 Er 3.12-3.33
Pm (0.1113, 0.7864, 0.5789) (multiplicity 8)  8 Er 3.37-3.53, 2 Pm 3.63
Sm (0.0000, 0.5000, 0.2500) (multiplicity 2)  4 Er 3.22
Er (0.0713, 0.6748, 0.9040) (multiplicity 8)  5 Pm 3.33-3.53, 3 Er 3.61-3.63
Er (0.0873, 0.8256, 0.2476) (multiplicity 8)  4 Pm 3.12-3.46, 1 Sm 3.22

---

10.
A plane-wave DFT calculation with PBE was carried out for crystalline Pm5SmEr6 at its relaxed geometry.

Values from the calculation:
DFT total energy: -111.3 eV per cell
energy of formation: 0.02 eV per atom

a b c (Å): 5.0785 10.0292 15.2184
angles (deg): 90.00 90.00 90.00
Last column: nearest neighbours and their distance in Å.
Space group Immm (No. 71)
Asymmetric unit:
Pm (0.0000, 0.0000, 0.0000) (multiplicity 2)  8 Er 3.57, 4 Pm 3.59
Pm (0.0000, 0.0000, 0.3336) (multiplicity 4)  8 Er 3.56-3.57, 2 Sm 3.59, 2 Pm 3.59
Pm (0.0000, 0.5000, 0.3333) (multiplicity 4)  8 Er 3.57, 4 Pm 3.59
Sm (0.0000, 0.5000, 0.0000) (multiplicity 2)  8 Er 3.57, 4 Pm 3.59
Er (0.0000, 0.2501, 0.1666) (multiplicity 8)  1 Sm 3.57, 7 Pm 3.57, 4 Er 3.59
Er (0.0000, 0.2498, 0.5000) (multiplicity 4)  6 Pm 3.56-3.57, 2 Sm 3.57, 4 Er 3.59

---

11.
A plane-wave DFT calculation with PBE was carried out for crystalline Pm6SmEr3 at its relaxed geometry.

Values from the calculation:
DFT total energy: -182.6 eV per cell
distance to the lowest polymorph of the same formula: 0 meV per atom
energy of formation: 0.13 eV per atom

a b c (Å): 9.7766 21.3208 6.4391
angles (deg): 90.00 90.00 90.00
Last column: nearest neighbours and their distance in Å.
Space group Cmc2_1 (No. 36)
Asymmetric unit:
Pm (0.0000, 0.0154, 0.0000) (multiplicity 4)  2 Pm 3.29, 1 Sm 3.32, 4 Er 3.53-3.63
Pm (0.0000, 0.3008, 0.0061) (multiplicity 4)  1 Er 3.16, 1 Sm 3.33, 2 Pm 3.51
Pm (0.1744, 0.2810, 0.4783) (multiplicity 8)  3 Er 3.32-3.71, 3 Pm 3.41-3.63, 1 Sm 3.64
Pm (0.1791, 0.4409, 0.2285) (multiplicity 8)  3 Er 3.36-3.58, 3 Pm 3.50-3.75
Sm (0.0000, 0.1580, 0.7947) (multiplicity 4)  4 Pm 3.32-3.64, 2 Er 3.55
Er (0.0000, 0.4188, 0.7083) (multiplicity 4)  3 Pm 3.16-3.47, 2 Er 3.45
Er (0.1683, 0.1261, 0.3169) (multiplicity 8)  2 Er 3.29-3.45, 5 Pm 3.32-3.63, 1 Sm 3.55

---

12.
A plane-wave DFT calculation with PBE was carried out for crystalline Pm6SmEr3 at its relaxed geometry.

Values from the calculation:
DFT total energy: -181.8 eV per cell
distance to the lowest polymorph of the same formula: 18 meV per atom
energy of formation: 0.14 eV per atom

a b c (Å): 11.0056 19.2564 6.3012
angles (deg): 90.00 90.00 90.00
Last column: nearest neighbours and their distance in Å.
Space group Cmc2_1 (No. 36)
Asymmetric unit:
Pm (0.0000, 0.0381, 0.0000) (multiplicity 4)  1 Sm 3.38, 2 Pm 3.48, 4 Er 3.52-3.59
Pm (0.0000, 0.2804, 0.2421) (multiplicity 4)  2 Pm 3.13, 1 Sm 3.37, 1 Er 3.41
Pm (0.1680, 0.4586, 0.3419) (multiplicity 8)  4 Er 3.47-3.73, 5 Pm 3.50-3.79
Pm (0.2353, 0.2907, 0.5196) (multiplicity 8)  2 Pm 3.13-3.50, 1 Er 3.30, 1 Sm 3.31
Sm (0.0000, 0.1970, 0.7727) (multiplicity 4)  3 Er 3.30-3.63, 6 Pm 3.31-3.54
Er (0.0000, 0.3850, 0.8050) (multiplicity 4)  7 Pm 3.41-3.73, 1 Sm 3.63, 2 Er 3.70
Er (0.1711, 0.1143, 0.4246) (multiplicity 8)  1 Sm 3.30, 6 Pm 3.30-3.59

---

Q: Number 1 is which compound?
A: Pm2SmEr4